A plane-wave DFT calculation with PBE was carried out for an optimized crystal structure of CaFe2W. Values from VASP.

Quantum ESPRESSO input file:
```
&SYSTEM
  ibrav = 0, nat = 4, ntyp = 3
/
ATOMIC_SPECIES
W 183.84 W.upf
Fe 55.84 Fe.upf
Ca 40.08 Ca.upf
ATOMIC_POSITIONS angstrom
W 1.4884 2.2276 0.0000
Fe 0.0000 0.0000 0.0000
Ca 1.4884 0.0000 2.2276
Fe 0.0000 2.2276 2.2276
CELL_PARAMETERS angstrom
2.9768 0.0000 0.0000
0.0000 4.4552 0.0000
0.0000 0.0000 4.4552
```

Properties
- E above lowest polymorph (eV/atom) = 0.308
- energy of formation from the pure elements (eV/atom) = 0.66
- theoretical density (g/cm3) = 9.4